Density functional theory data (GGA-PBE) for a relaxed HgPtCl2 crystal.

Cell: 8.2564 8.2564 8.2564 Å, 26.31 26.31 26.31°
Closest atoms and distances in Å follow each position.
Positions (direct):
Cl (0.9691, 0.9691, 0.9691)  3 Pt 2.53
Cl (0.7734, 0.7734, 0.7734)  3 Hg 2.72
Hg (0.5091, 0.5091, 0.5091)  3 Cl 2.72, 3 Pt 2.78
Pt (0.2484, 0.2484, 0.2484)  3 Cl 2.53, 3 Hg 2.78

Calculated values
crystal system: trigonal
calculated total energy: -2.593 eV/atom
energy above the lowest structure with this stoichiometry: 54 kJ/mol of formula units
magnetization: 0.18 μB per formula unit